Entry 1:
A plane-wave DFT calculation with PBE-GGA was carried out for a relaxed structure of Nd5HgTe5.

Unit cell a=6.360 b=7.760 c=8.931 alpha=106.79 beta=90.00 gamma=114.19
Fractional coordinates of all 11 atoms:
Nd 0.834 0.669 0.169
Nd 0.500 0.000 0.000
Nd 0.834 0.669 0.664
Nd 0.166 0.331 0.831
Nd 0.166 0.331 0.336
Te 0.333 0.666 0.664
Te 0.335 0.671 0.171
Te 0.667 0.334 0.336
Te 0.665 0.329 0.829
Te 0.000 0.000 0.500
Hg 0.000 0.000 0.000

Summary:
Total energy (eV/cell): -53.73
Formation energy (no corrections) (eV per formula unit): -13.9

Entry 2:
A plane-wave DFT calculation with PBE-GGA was carried out for a relaxed structure of Nd6HgTe3.

Unit cell a=4.189 b=12.642 c=13.138 alpha=105.94 beta=90.00 gamma=90.00
Fractional coordinates of all 20 atoms:
Nd 0.750 0.925 0.115
Nd 0.750 0.801 0.749
Nd 0.750 0.116 0.466
Nd 0.250 0.503 0.353
Nd 0.750 0.497 0.647
Nd 0.250 0.884 0.534
Nd 0.750 0.397 0.092
Nd 0.250 0.199 0.251
Nd 0.750 0.743 0.288
Nd 0.250 0.603 0.908
Nd 0.250 0.257 0.712
Nd 0.250 0.075 0.885
Te 0.250 0.852 0.934
Te 0.750 0.671 0.503
Te 0.750 0.412 0.856
Te 0.250 0.329 0.497
Te 0.750 0.148 0.066
Te 0.250 0.588 0.144
Hg 0.250 0.954 0.310
Hg 0.750 0.046 0.690

Summary:
Total energy (eV/cell): -93.79
Formation energy (no corrections) (eV per formula unit): -8.6

Entry 3:
A plane-wave DFT calculation with PBE-GGA was carried out for a relaxed structure of Nd4HgTe.

Unit cell a=6.296 b=8.246 c=8.553 alpha=90.00 beta=90.00 gamma=107.34
Fractional coordinates of all 12 atoms:
Nd 0.397 0.501 0.250
Nd 0.603 0.499 0.750
Nd 0.421 0.999 0.750
Nd 0.032 0.749 0.456
Nd 0.032 0.749 0.044
Nd 0.579 0.001 0.250
Nd 0.968 0.251 0.544
Nd 0.968 0.251 0.956
Hg 0.166 0.577 0.750
Hg 0.834 0.423 0.250
Te 0.874 0.915 0.750
Te 0.126 0.085 0.250

Summary:
Total energy (eV/cell): -49.63
Energy above the lowest structure with this stoichiometry (meV/atom): 184
Formation energy (no corrections) (eV per formula unit): -2.3

Entry 4:
A plane-wave DFT calculation with PBE-GGA was carried out for a relaxed structure of Nd4HgTe5.

Unit cell a=4.593 b=8.541 c=11.165 alpha=106.87 beta=101.87 gamma=90.00
Fractional coordinates of all 10 atoms:
Te 0.110 0.202 0.220
Te 0.890 0.798 0.780
Te 0.500 0.500 0.000
Te 0.179 0.795 0.359
Te 0.821 0.205 0.641
Nd 0.673 0.055 0.346
Nd 0.032 0.764 0.064
Nd 0.327 0.945 0.654
Nd 0.968 0.236 0.936
Hg 0.500 0.000 0.000

Summary:
Total energy (eV/cell): -46.37
Formation energy (no corrections) (eV per formula unit): -11.3

Entry 5:
A plane-wave DFT calculation with PBE-GGA was carried out for a relaxed structure of Nd3HgTe.

Unit cell a=4.663 b=7.923 c=17.437 alpha=90.00 beta=90.00 gamma=90.00
Fractional coordinates of all 20 atoms:
Nd 0.750 0.629 0.434
Nd 0.750 0.990 0.611
Nd 0.250 0.871 0.934
Nd 0.250 0.010 0.389
Nd 0.750 0.318 0.268
Nd 0.250 0.510 0.111
Nd 0.750 0.129 0.066
Nd 0.250 0.182 0.768
Nd 0.250 0.682 0.732
Nd 0.250 0.371 0.566
Nd 0.750 0.818 0.232
Nd 0.750 0.490 0.889
Hg 0.250 0.598 0.304
Hg 0.250 0.098 0.196
Hg 0.750 0.402 0.696
Hg 0.750 0.902 0.804
Te 0.750 0.227 0.461
Te 0.750 0.727 0.039
Te 0.250 0.773 0.539
Te 0.250 0.273 0.961

Summary:
Total energy (eV/cell): -85.00
Energy above the lowest structure with this stoichiometry (meV/atom): 0
Formation energy (no corrections) (eV per formula unit): -3.5

Entry 6:
A plane-wave DFT calculation with PBE-GGA was carried out for a relaxed structure of Nd7Hg2Te2.

Unit cell a=7.002 b=7.841 c=7.002 alpha=89.98 beta=105.99 gamma=90.02
Fractional coordinates of all 11 atoms:
Te 0.719 0.000 0.281
Te 0.281 0.000 0.719
Nd 0.500 0.281 0.000
Nd 0.500 0.719 0.000
Nd 0.000 0.281 0.500
Nd 0.500 0.732 0.500
Nd 0.000 0.719 0.500
Nd 0.500 0.268 0.500
Nd 0.000 0.000 0.000
Hg 0.173 0.500 0.173
Hg 0.827 0.500 0.827

Summary:
Total energy (eV/cell): -45.01
Formation energy (no corrections) (eV per formula unit): -4.8

Entry 7:
A plane-wave DFT calculation with PBE-GGA was carried out for a relaxed structure of Nd5Hg2Te.

Unit cell a=8.700 b=8.700 c=8.923 alpha=119.17 beta=119.17 gamma=90.00
Fractional coordinates of all 16 atoms:
Nd 0.697 0.197 0.705
Nd 0.008 0.508 0.705
Nd 0.992 0.492 0.295
Nd 0.492 0.303 0.295
Nd 0.508 0.697 0.705
Nd 0.500 0.500 0.000
Nd 0.000 0.000 0.000
Nd 0.803 0.992 0.295
Nd 0.303 0.803 0.295
Nd 0.197 0.008 0.705
Hg 0.640 0.140 0.000
Hg 0.860 0.640 0.000
Hg 0.360 0.860 0.000
Hg 0.140 0.360 0.000
Te 0.750 0.750 0.500
Te 0.250 0.250 0.500

Summary:
Total energy (eV/cell): -64.16
Formation energy (no corrections) (eV per formula unit): -4.5

Entry 8:
A plane-wave DFT calculation with PBE-GGA was carried out for a relaxed structure of Nd3HgTe.

Unit cell a=3.844 b=9.762 c=9.159 alpha=77.54 beta=90.00 gamma=101.35
Site moments in Bohr magnetons follow the coordinates.
Fractional coordinates of all 10 atoms:
Hg 0.077 0.155 0.952  0.00
Hg 0.923 0.845 0.048  0.00
Nd 0.798 0.597 0.336  0.17
Nd 0.672 0.345 0.088  0.03
Nd 0.995 0.990 0.689  0.04
Nd 0.328 0.655 0.912  0.03
Nd 0.202 0.403 0.664  0.17
Nd 0.005 0.010 0.311  0.04
Te 0.385 0.769 0.535  0.00
Te 0.615 0.231 0.465  0.00

Summary:
Total energy (eV/cell): -40.19
Energy above the lowest structure with this stoichiometry (meV/atom): 231
Formation energy (no corrections) (eV per formula unit): -2.3

Entry 9:
A plane-wave DFT calculation with PBE-GGA was carried out for a relaxed structure of Nd3Hg2Te.

Unit cell a=3.906 b=5.419 c=16.154 alpha=90.00 beta=90.00 gamma=90.00
Fractional coordinates of all 12 atoms:
Te 0.000 0.000 0.000
Te 0.000 0.500 0.500
Hg 0.000 0.000 0.679
Hg 0.000 0.500 0.821
Hg 0.000 0.000 0.321
Hg 0.000 0.500 0.179
Nd 0.500 0.000 0.837
Nd 0.500 0.500 0.663
Nd 0.500 0.000 0.163
Nd 0.500 0.500 0.337
Nd 0.500 0.500 0.000
Nd 0.500 0.000 0.500

Summary:
Total energy (eV/cell): -44.81
Formation energy (no corrections) (eV per formula unit): -4.4

Entry 10:
A plane-wave DFT calculation with PBE-GGA was carried out for a relaxed structure of Nd3HgTe3.

Unit cell a=4.267 b=12.831 c=16.159 alpha=90.00 beta=90.00 gamma=90.00
Fractional coordinates of all 28 atoms:
Nd 0.750 0.429 0.594
Nd 0.250 0.265 0.846
Nd 0.250 0.129 0.579
Nd 0.750 0.371 0.079
Nd 0.250 0.071 0.094
Nd 0.250 0.629 0.921
Nd 0.750 0.929 0.906
Nd 0.250 0.571 0.406
Nd 0.250 0.765 0.654
Nd 0.750 0.235 0.346
Nd 0.750 0.871 0.421
Nd 0.750 0.735 0.154
Hg 0.750 0.989 0.229
Hg 0.250 0.511 0.729
Hg 0.750 0.489 0.271
Hg 0.250 0.011 0.771
Te 0.750 0.228 0.703
Te 0.250 0.838 0.030
Te 0.250 0.054 0.390
Te 0.750 0.946 0.610
Te 0.250 0.554 0.110
Te 0.250 0.338 0.470
Te 0.750 0.728 0.797
Te 0.750 0.162 0.970
Te 0.750 0.446 0.890
Te 0.750 0.662 0.530
Te 0.250 0.772 0.297
Te 0.250 0.272 0.203

Summary:
Total energy (eV/cell): -127.87
Formation energy (no corrections) (eV per formula unit): -7.9

Entry 11:
A plane-wave DFT calculation with PBE-GGA was carried out for a relaxed structure of Nd6Hg5Te.

Unit cell a=5.454 b=7.582 c=9.456 alpha=113.63 beta=106.76 gamma=90.00
Fractional coordinates of all 12 atoms:
Nd 0.834 0.082 0.669
Nd 0.500 0.752 0.000
Nd 0.166 0.413 0.331
Nd 0.834 0.587 0.669
Nd 0.166 0.918 0.331
Nd 0.500 0.248 0.000
Hg 0.321 0.821 0.642
Hg 0.679 0.179 0.358
Hg 0.335 0.335 0.669
Hg 0.665 0.665 0.331
Hg 0.000 0.500 0.000
Te 0.000 0.000 0.000

Summary:
Total energy (eV/cell): -40.33
Formation energy (no corrections) (eV per formula unit): -7.1

Entry 12:
A plane-wave DFT calculation with PBE-GGA was carried out for a relaxed structure of Nd3HgTe6.

Unit cell a=7.477 b=9.823 c=9.823 alpha=103.49 beta=90.00 gamma=90.00
Fractional coordinates of all 20 atoms:
Te 0.227 0.454 0.918
Te 0.678 0.963 0.037
Te 0.638 0.230 0.770
Te 0.727 0.918 0.454
Te 0.678 0.623 0.700
Te 0.178 0.700 0.623
Te 0.678 0.300 0.377
Te 0.178 0.377 0.300
Te 0.727 0.546 0.082
Te 0.178 0.037 0.963
Te 0.138 0.770 0.230
Te 0.227 0.082 0.546
Nd 0.487 0.915 0.727
Nd 0.487 0.273 0.085
Nd 0.870 0.597 0.403
Nd 0.987 0.727 0.915
Nd 0.370 0.403 0.597
Nd 0.987 0.085 0.273
Hg 0.514 0.786 0.214
Hg 0.014 0.214 0.786

Summary:
Total energy (eV/cell): -87.92
Formation energy (no corrections) (eV per formula unit): -10.5

Computed density, in the same sequence as the records: 6.79 7.19 7.09 5.74 7.85 7.49 8.49 7.69 9.34 7.63 9.75 6.62 Mg/m³.